Entry 1:
DFT (GGA-PBE) results for an optimized crystal structure of Pa2MoPt.

Calculated values
Space-group type: Fm-3m, No. 225
Density of states at the Fermi level: 6.4 states/eV/cell
DFT total energy: -36.93 eV/cell

```
Pa2MoPt
1.0
0.000 3.487 3.487
3.487 0.000 3.487
3.487 3.487 0.000
Pa Mo Pt
2 1 1
Direct
0.250 0.250 0.250
0.750 0.750 0.750
0.000 0.000 0.000
0.500 0.500 0.500
```

---

Entry 2:
DFT (GGA-PBE) results for an optimized crystal structure of Pa2MoPt.

Calculated values
Space-group type: P4/mmm, No. 123
Density of states at the Fermi level: 6.4 states/eV/cell
DFT total energy: -37.06 eV/cell

```
Pa2MoPt
1.0
3.480 0.000 0.000
0.000 3.480 0.000
0.000 0.000 7.051
Pa Mo Pt
2 1 1
Direct
0.000 0.000 0.244
0.000 0.000 0.756
0.500 0.500 0.000
0.500 0.500 0.500
```

---

Entry 3:
DFT (GGA-PBE) results for an optimized crystal structure of ScPaMoPt.

Calculated values
Space-group type: F-43m, No. 216
Density of states at the Fermi level: 2.6 states/eV/cell
DFT total energy: -34.53 eV/cell

```
ScPaMoPt
1.0
0.000 3.401 3.401
3.401 0.000 3.401
3.401 3.401 0.000
Sc Pa Mo Pt
1 1 1 1
Direct
0.000 0.000 0.000
0.500 0.500 0.500
0.750 0.750 0.750
0.250 0.250 0.250
```

---

Entry 4:
DFT (GGA-PBE) results for an optimized crystal structure of PaTiMoPt.

Calculated values
Space-group type: F-43m, No. 216
Density of states at the Fermi level: 5.0 states/eV/cell
DFT total energy: -35.74 eV/cell

```
PaTiMoPt
1.0
0.000 3.336 3.336
3.336 0.000 3.336
3.336 3.336 0.000
Pa Ti Mo Pt
1 1 1 1
Direct
0.000 0.000 0.000
0.500 0.500 0.500
0.250 0.250 0.250
0.750 0.750 0.750
```

---

Entry 5:
DFT (GGA-PBE) results for an optimized crystal structure of PuPaMo.

Calculated values
Space-group type: I4mm, No. 107
Density of states at the Fermi level: 6.6 states/eV/cell
DFT total energy: -34.50 eV/cell

```
PuPaMo
1.0
-1.720 1.720 5.200
1.720 -1.720 5.200
1.720 1.720 -5.200
Pu Pa Mo
1 1 1
Direct
0.000 0.000 0.000
0.668 0.668 0.000
0.328 0.328 0.000
```

---

Entry 6:
DFT (GGA-PBE) results for an optimized crystal structure of Pu2PaMo.

Calculated values
Space-group type: P4/mmm, No. 123
Density of states at the Fermi level: 10.0 states/eV/cell
DFT total energy: -48.26 eV/cell

```
Pu2PaMo
1.0
3.425 0.000 0.000
0.000 3.425 0.000
0.000 0.000 7.172
Pu Pa Mo
2 1 1
Direct
0.000 0.000 0.229
0.000 0.000 0.771
0.500 0.500 0.500
0.500 0.500 0.000
```

---

Entry 7:
DFT (GGA-PBE) results for an optimized crystal structure of PuPaMo.

Calculated values
Space-group type: P3m1, No. 156
Density of states at the Fermi level: 6.5 states/eV/cell
DFT total energy: -34.34 eV/cell

```
PuPaMo
1.0
4.758 0.000 0.000
-2.379 4.121 0.000
0.000 0.000 3.152
Pu Pa Mo
1 1 1
Direct
0.000 0.000 0.000
0.333 0.667 0.300
0.667 0.333 0.683
```

---

Entry 8:
DFT (GGA-PBE) results for an optimized crystal structure of Pu2PaMo.

Calculated values
Space-group type: Fm-3m, No. 225
Density of states at the Fermi level: 11.1 states/eV/cell
DFT total energy: -48.09 eV/cell

```
Pu2PaMo
1.0
0.000 3.500 3.500
3.500 0.000 3.500
3.500 3.500 0.000
Pu Pa Mo
2 1 1
Direct
0.250 0.250 0.250
0.750 0.750 0.750
0.000 0.000 0.000
0.500 0.500 0.500
```